The following is a PBE calculation of a relaxed structure of LiPmTlAg, from Alexandria.

abc: 5.111 5.111 5.111
angles: 60.00 60.00 60.00
Positions (direct):
Pm 0.000 0.000 0.000
Li 0.500 0.500 0.500
Ag 0.250 0.250 0.250
Tl 0.750 0.750 0.750

Calculated values
**ΔH_f (0 K)**: -277 meV per atom
**Theoretical density**: 8.2 g/cm3
**N(E_F)**: 2.72 states/eV/cell
**Distance to the lowest polymorph of the same formula**: 17 meV/atom
**Space group**: F-43m (216)